Record 1
Crystalline LuNpGe2 at its relaxed geometry, computed with PBE-GGA.

a = 3.263 Å, b = 3.263 Å, c = 8.009 Å
α = 90.00°, β = 90.00°, γ = 90.00°
Space group P4/mmm (No. 123)
Inequivalent atoms, fractional coordinates:
Lu 0.000 0.000 0.000 (multiplicity 1)
Np 0.000 0.000 0.500 (multiplicity 1)
Ge 0.500 0.500 0.246 (multiplicity 2)

E above lowest polymorph in meV/atom: 0.0
Formation energy in eV/atom: -0.35

***

Record 2
Crystalline La3BeAlS7 at its relaxed geometry, computed with PBE-GGA.

a = 10.0072 Å, b = 10.0072 Å, c = 6.4279 Å
α = 90.00°, β = 90.00°, γ = 120.00°
Space group P6_3 (No. 173)
Inequivalent atoms, fractional coordinates:
La 0.1510 0.7757 0.0000 (multiplicity 6)
Be 0.0000 0.0000 0.1063 (multiplicity 2)
Al 0.3333 0.6667 0.4228 (multiplicity 2)
S 0.0954 0.8640 0.5808 (multiplicity 6)
S 0.0964 0.5242 0.2782 (multiplicity 6)
S 0.3333 0.6667 0.7752 (multiplicity 2)

Raw formation energy in eV per atom: -1.80
E above lowest polymorph in meV/atom: 0.0

***

Record 3
Crystalline AcPrPaN4 at its relaxed geometry, computed with PBE-GGA.

a = 4.337 Å, b = 4.337 Å, c = 13.221 Å
α = 90.00°, β = 90.00°, γ = 90.00°
Space group I4mm (No. 107)
Inequivalent atoms, fractional coordinates:
Ac 0.000 0.000 0.000 (multiplicity 2)
Pr 0.000 0.000 0.704 (multiplicity 2)
Pa 0.000 0.000 0.349 (multiplicity 2)
N 0.000 0.000 0.180 (multiplicity 2)
N 0.000 0.000 0.525 (multiplicity 2)
N 0.000 0.500 0.344 (multiplicity 4)

Raw formation energy in eV per atom: -1.14

***

Record 4
Crystalline MgH3Se at its relaxed geometry, computed with PBE-GGA.

a = 3.738 Å, b = 3.738 Å, c = 3.738 Å
α = 90.00°, β = 90.00°, γ = 90.00°
Space group Pm-3m (No. 221)
Inequivalent atoms, fractional coordinates:
Mg 0.000 0.000 0.000 (multiplicity 1)
H 0.000 0.000 0.500 (multiplicity 3)
Se 0.500 0.500 0.500 (multiplicity 1)

E above lowest polymorph in meV/atom: 0.0

***

Record 5
Crystalline LiDy3Al12 at its relaxed geometry, computed with PBE-GGA.

a = 4.218 Å, b = 4.218 Å, c = 16.661 Å
α = 90.00°, β = 90.00°, γ = 90.00°
Space group P4/mmm (No. 123)
Inequivalent atoms, fractional coordinates:
Li 0.000 0.000 0.000 (multiplicity 1)
Dy 0.000 0.000 0.242 (multiplicity 2)
Dy 0.000 0.000 0.500 (multiplicity 1)
Al 0.000 0.500 0.111 (multiplicity 4)
Al 0.000 0.500 0.371 (multiplicity 4)
Al 0.500 0.500 0.000 (multiplicity 1)
Al 0.500 0.500 0.246 (multiplicity 2)
Al 0.500 0.500 0.500 (multiplicity 1)

Formation energy in eV/atom: -0.33

***

Record 6
Crystalline HoTiGaHg at its relaxed geometry, computed with PBE-GGA.

a = 6.959 Å, b = 6.959 Å, c = 6.959 Å
α = 90.00°, β = 90.00°, γ = 90.00°
Space group F-43m (No. 216)
Inequivalent atoms, fractional coordinates:
Ho 0.000 0.000 0.000 (multiplicity 4)
Ti 0.000 0.000 0.500 (multiplicity 4)
Ga 0.250 0.250 0.250 (multiplicity 4)
Hg 0.250 0.250 0.750 (multiplicity 4)

Formation energy in eV/atom: -0.26